No. 1
Below is crystalline Tb2TiBe4Pt3 at its relaxed geometry, with properties calculated at the PBE level.

## Properties
- Density of states at the Fermi level: 8.5 states/eV per cell
- ρ: 10.4 g/cm3
- Formation energy: -0.6970 eV/atom
- DFT total energy: -57.2 eV per cell

a = 3.8949 Å, b = 3.8949 Å, c = 10.3655 Å
α = 90.00°, β = 90.00°, γ = 90.00°
Last column: nearest neighbours and their distance in Å.
Space group P-4m2 (No. 115)
One atom of each set of equivalent atoms:
Tb 0.0000 0.5000 0.2417 [2 per cell]  8 Be 2.97-3.17, 6 Pt 3.02-3.31, 2 Ti 3.31
Ti 0.0000 0.0000 0.5000 [1 per cell]  4 Be 2.51, 4 Pt 2.75
Be 0.0000 0.0000 0.0000 [1 per cell]  4 Pt 2.32
Be 0.0000 0.5000 0.6521 [2 per cell]  3 Pt 2.35-2.51, 2 Ti 2.51
Be 0.5000 0.5000 0.0000 [1 per cell]  4 Pt 2.32
Pt 0.0000 0.5000 0.8784 [2 per cell]  5 Be 2.32-2.35
Pt 0.5000 0.5000 0.5000 [1 per cell]  4 Be 2.51, 4 Ti 2.75


No. 2
Below is crystalline TbTiBePt2 at its relaxed geometry, with properties calculated at the PBE level.

## Properties
- Density of states at the Fermi level: 8.9 states/eV per cell
- ρ: 11.2 g/cm3
- Formation energy: -0.8587 eV/atom
- DFT total energy: -65.3 eV per cell

a = 3.8814 Å, b = 3.8814 Å, c = 11.8993 Å
α = 90.00°, β = 90.00°, γ = 90.00°
Last column: nearest neighbours and their distance in Å.
Space group I-4m2 (No. 119)
One atom of each set of equivalent atoms:
Tb 0.0000 0.0000 0.0000 [2 per cell]  8 Pt 3.07
Ti 0.0000 0.5000 0.7500 [2 per cell]  4 Pt 2.51, 4 Be 2.74
Be 0.0000 0.5000 0.2500 [2 per cell]  4 Pt 2.51, 4 Ti 2.74
Pt 0.0000 0.0000 0.3836 [4 per cell]  2 Be 2.51, 2 Ti 2.51, 1 Pt 2.77


No. 3
Below is crystalline Tb2TiBe3Pt4 at its relaxed geometry, with properties calculated at the PBE level.

## Properties
- Density of states at the Fermi level: 7.5 states/eV per cell
- ρ: 11.8 g/cm3
- Formation energy: -0.8957 eV/atom
- DFT total energy: -61.5 eV per cell

a = 4.0036 Å, b = 4.0036 Å, c = 10.2766 Å
α = 90.00°, β = 90.00°, γ = 90.00°
Last column: nearest neighbours and their distance in Å.
Space group P-4m2 (No. 115)
One atom of each set of equivalent atoms:
Tb 0.0000 0.5000 0.2359 [2 per cell]  8 Pt 3.06-3.14, 6 Be 3.08-3.37, 2 Ti 3.37
Ti 0.0000 0.0000 0.5000 [1 per cell]  4 Pt 2.53, 4 Be 2.83
Be 0.0000 0.5000 0.8827 [2 per cell]  5 Pt 2.34-2.38
Be 0.5000 0.5000 0.5000 [1 per cell]  4 Pt 2.53, 4 Ti 2.83
Pt 0.0000 0.0000 0.0000 [1 per cell]  4 Be 2.34
Pt 0.0000 0.5000 0.6511 [2 per cell]  3 Be 2.38-2.53, 2 Ti 2.53
Pt 0.5000 0.5000 0.0000 [1 per cell]  4 Be 2.34